# HfP3Rh | the Alexandria database | GGA-PBEsol | optimized geometry
data_HfP3Rh
_chemical_formula_sum 'Hf1 P3 Rh1'
_symmetry_space_group_name_H-M 'P 1'
_symmetry_Int_Tables_number 1
_symmetry_space_group_name_Hall 'P 1'
_cell_length_a 4.4993
_cell_length_b 4.4993
_cell_length_c 4.4993
_cell_angle_alpha 90.00
_cell_angle_beta 90.00
_cell_angle_gamma 90.00
loop_
_atom_site_label
_atom_site_type_symbol
_atom_site_fract_x
_atom_site_fract_y
_atom_site_fract_z
Hf1 Hf 0.0000 0.0000 0.0000
P1 P 0.0000 0.5000 0.5000
P2 P 0.5000 0.0000 0.5000
P3 P 0.5000 0.5000 0.0000
Rh1 Rh 0.5000 0.5000 0.5000
# Total DFT energy (no corrections): -6.81 eV per atom
# V: 18.22 A^3/atom
# Fermi-level density of states: 0.742 states/eV per atom
# Formation energy from the elements: 0.39 eV per atom
# Space group: Pm-3m, No. 221

---

# HfP2RuS | the Alexandria database | GGA-PBEsol | optimized geometry
data_HfP2RuS
_chemical_formula_sum 'Hf1 P2 Ru1 S1'
_symmetry_space_group_name_H-M 'P 1'
_symmetry_Int_Tables_number 1
_symmetry_space_group_name_Hall 'P 1'
_cell_length_a 4.3877
_cell_length_b 4.3877
_cell_length_c 4.7708
_cell_angle_alpha 90.00
_cell_angle_beta 90.00
_cell_angle_gamma 90.00
loop_
_atom_site_label
_atom_site_type_symbol
_atom_site_fract_x
_atom_site_fract_y
_atom_site_fract_z
Hf1 Hf 0.0000 0.0000 0.0000
P1 P 0.0000 0.5000 0.5000
P2 P 0.5000 0.0000 0.5000
Ru1 Ru 0.5000 0.5000 0.5000
S1 S 0.5000 0.5000 0.0000
# Total DFT energy (no corrections): -6.99 eV per atom
# Energy relative to the elements, uncorrected: 0.341 eV per atom
# V: 18.37 A^3/atom
# Fermi-level density of states: 1.000 states/eV per atom
# Space group: P4/mmm, No. 123

---

# HfTi2PRu | the Alexandria database | GGA-PBEsol | optimized geometry
data_HfTi2PRu
_chemical_formula_sum 'Hf1 Ti2 P1 Ru1'
_symmetry_space_group_name_H-M 'P 1'
_symmetry_Int_Tables_number 1
_symmetry_space_group_name_Hall 'P 1'
_cell_length_a 4.5085
_cell_length_b 4.5085
_cell_length_c 4.9843
_cell_angle_alpha 90.00
_cell_angle_beta 90.00
_cell_angle_gamma 90.00
loop_
_atom_site_label
_atom_site_type_symbol
_atom_site_fract_x
_atom_site_fract_y
_atom_site_fract_z
Hf1 Hf 0.0000 0.0000 0.0000
Ti1 Ti 0.0000 0.5000 0.5000
Ti2 Ti 0.5000 0.0000 0.5000
P1 P 0.5000 0.5000 0.0000
Ru1 Ru 0.0000 0.0000 0.5000
# Total DFT energy (no corrections): -8.21 eV per atom
# V: 20.26 A^3/atom
# Fermi-level density of states: 1.041 states/eV per atom
# Formation energy from the elements: 0.41 eV per atom
# Space group: P4/mmm, No. 123

---

# YHf2PRu | the Alexandria database | GGA-PBEsol | optimized geometry
data_YHf2PRu
_chemical_formula_sum 'Y1 Hf2 P1 Ru1'
_symmetry_space_group_name_H-M 'P 1'
_symmetry_Int_Tables_number 1
_symmetry_space_group_name_Hall 'P 1'
_cell_length_a 4.7988
_cell_length_b 4.7988
_cell_length_c 5.3335
_cell_angle_alpha 90.00
_cell_angle_beta 90.00
_cell_angle_gamma 90.00
loop_
_atom_site_label
_atom_site_type_symbol
_atom_site_fract_x
_atom_site_fract_y
_atom_site_fract_z
Y1 Y 0.0000 0.0000 0.0000
Hf1 Hf 0.0000 0.5000 0.5000
Hf2 Hf 0.5000 0.0000 0.5000
P1 P 0.5000 0.5000 0.0000
Ru1 Ru 0.0000 0.0000 0.5000
# Total DFT energy (no corrections): -8.49 eV per atom
# V: 24.56 A^3/atom
# Fermi-level density of states: 1.195 states/eV per atom
# Formation energy from the elements: 0.27 eV per atom
# Space group: P4/mmm, No. 123

---

# HfScPS2 | the Alexandria database | GGA-PBEsol | optimized geometry
data_HfScPS2
_chemical_formula_sum 'Hf1 Sc1 P1 S2'
_symmetry_space_group_name_H-M 'P 1'
_symmetry_Int_Tables_number 1
_symmetry_space_group_name_Hall 'P 1'
_cell_length_a 4.6312
_cell_length_b 4.6312
_cell_length_c 4.8866
_cell_angle_alpha 90.00
_cell_angle_beta 90.00
_cell_angle_gamma 90.00
loop_
_atom_site_label
_atom_site_type_symbol
_atom_site_fract_x
_atom_site_fract_y
_atom_site_fract_z
Hf1 Hf 0.0000 0.0000 0.0000
Sc1 Sc 0.5000 0.5000 0.5000
P1 P 0.5000 0.5000 0.0000
S1 S 0.0000 0.5000 0.5000
S2 S 0.5000 0.0000 0.5000
# Total DFT energy (no corrections): -6.55 eV per atom
# Energy relative to the elements, uncorrected: -0.219 eV per atom
# V: 20.96 A^3/atom
# Fermi-level density of states: 0.390 states/eV per atom
# Space group: P4/mmm, No. 123

---

# HfSnPS2 | the Alexandria database | GGA-PBEsol | optimized geometry
data_HfSnPS2
_chemical_formula_sum 'Hf1 Sn1 P1 S2'
_symmetry_space_group_name_H-M 'P 1'
_symmetry_Int_Tables_number 1
_symmetry_space_group_name_Hall 'P 1'
_cell_length_a 4.8342
_cell_length_b 4.8342
_cell_length_c 5.0429
_cell_angle_alpha 90.00
_cell_angle_beta 90.00
_cell_angle_gamma 90.00
loop_
_atom_site_label
_atom_site_type_symbol
_atom_site_fract_x
_atom_site_fract_y
_atom_site_fract_z
Hf1 Hf 0.0000 0.0000 0.0000
Sn1 Sn 0.5000 0.5000 0.5000
P1 P 0.0000 0.0000 0.5000
S1 S 0.0000 0.5000 0.0000
S2 S 0.5000 0.0000 0.0000
# Total DFT energy (no corrections): -6.27 eV per atom
# Energy relative to the elements, uncorrected: -0.405 eV per atom
# V: 23.57 A^3/atom
# Fermi-level density of states: 0.700 states/eV per atom
# Space group: P4/mmm, No. 123

---

# HfSnP2S | the Alexandria database | GGA-PBEsol | optimized geometry
data_HfSnP2S
_chemical_formula_sum 'Hf1 Sn1 P2 S1'
_symmetry_space_group_name_H-M 'P 1'
_symmetry_Int_Tables_number 1
_symmetry_space_group_name_Hall 'P 1'
_cell_length_a 4.5702
_cell_length_b 4.5702
_cell_length_c 4.7671
_cell_angle_alpha 90.00
_cell_angle_beta 90.00
_cell_angle_gamma 90.00
loop_
_atom_site_label
_atom_site_type_symbol
_atom_site_fract_x
_atom_site_fract_y
_atom_site_fract_z
Hf1 Hf 0.0000 0.0000 0.0000
Sn1 Sn 0.5000 0.5000 0.0000
P1 P 0.0000 0.5000 0.5000
P2 P 0.5000 0.0000 0.5000
S1 S 0.0000 0.0000 0.5000
# Total DFT energy (no corrections): -5.77 eV per atom
# Energy relative to the elements, uncorrected: 0.374 eV per atom
# V: 19.91 A^3/atom
# Fermi-level density of states: 0.618 states/eV per atom
# Polymorph energy (0 for the lowest one): 0.423 eV per atom
# Space group: P4/mmm, No. 123

---

# HfSnP2S | the Alexandria database | GGA-PBEsol | optimized geometry
data_HfSnP2S
_chemical_formula_sum 'Hf1 Sn1 P2 S1'
_symmetry_space_group_name_H-M 'P 1'
_symmetry_Int_Tables_number 1
_symmetry_space_group_name_Hall 'P 1'
_cell_length_a 4.9602
_cell_length_b 4.9602
_cell_length_c 4.8172
_cell_angle_alpha 90.00
_cell_angle_beta 90.00
_cell_angle_gamma 90.00
loop_
_atom_site_label
_atom_site_type_symbol
_atom_site_fract_x
_atom_site_fract_y
_atom_site_fract_z
Hf1 Hf 0.0000 0.0000 0.0000
Sn1 Sn 0.5000 0.5000 0.5000
P1 P 0.0000 0.5000 0.0000
P2 P 0.5000 0.0000 0.0000
S1 S 0.0000 0.0000 0.5000
# Total DFT energy (no corrections): -6.19 eV per atom
# Energy relative to the elements, uncorrected: -0.049 eV per atom
# V: 23.70 A^3/atom
# Fermi-level density of states: 0.761 states/eV per atom
# Polymorph energy (0 for the lowest one): 0.000 eV per atom
# Space group: P4/mmm, No. 123

---

# HfTiP2S | the Alexandria database | GGA-PBEsol | optimized geometry
data_HfTiP2S
_chemical_formula_sum 'Hf1 Ti1 P2 S1'
_symmetry_space_group_name_H-M 'P 1'
_symmetry_Int_Tables_number 1
_symmetry_space_group_name_Hall 'P 1'
_cell_length_a 4.6159
_cell_length_b 4.6159
_cell_length_c 4.4177
_cell_angle_alpha 90.00
_cell_angle_beta 90.00
_cell_angle_gamma 90.00
loop_
_atom_site_label
_atom_site_type_symbol
_atom_site_fract_x
_atom_site_fract_y
_atom_site_fract_z
Hf1 Hf 0.0000 0.0000 0.0000
Ti1 Ti 0.5000 0.5000 0.5000
P1 P 0.0000 0.5000 0.5000
P2 P 0.5000 0.0000 0.5000
S1 S 0.5000 0.5000 0.0000
# Total DFT energy (no corrections): -7.03 eV per atom
# Energy relative to the elements, uncorrected: -0.074 eV per atom
# V: 18.82 A^3/atom
# Fermi-level density of states: 0.430 states/eV per atom
# Space group: P4/mmm, No. 123

---

# HfP2WS | the Alexandria database | GGA-PBEsol | optimized geometry
data_HfP2WS
_chemical_formula_sum 'Hf1 P2 W1 S1'
_symmetry_space_group_name_H-M 'P 1'
_symmetry_Int_Tables_number 1
_symmetry_space_group_name_Hall 'P 1'
_cell_length_a 4.8676
_cell_length_b 4.8676
_cell_length_c 4.6977
_cell_angle_alpha 90.00
_cell_angle_beta 90.00
_cell_angle_gamma 90.00
loop_
_atom_site_label
_atom_site_type_symbol
_atom_site_fract_x
_atom_site_fract_y
_atom_site_fract_z
Hf1 Hf 0.0000 0.0000 0.0000
P1 P 0.0000 0.5000 0.0000
P2 P 0.5000 0.0000 0.0000
W1 W 0.5000 0.5000 0.5000
S1 S 0.0000 0.0000 0.5000
# Total DFT energy (no corrections): -6.96 eV per atom
# Energy relative to the elements, uncorrected: 1.095 eV per atom
# V: 22.26 A^3/atom
# Fermi-level density of states: 0.747 states/eV per atom
# Space group: P4/mmm, No. 123

---

# HfZrP2S | the Alexandria database | GGA-PBEsol | optimized geometry
data_HfZrP2S
_chemical_formula_sum 'Hf1 Zr1 P2 S1'
_symmetry_space_group_name_H-M 'P 1'
_symmetry_Int_Tables_number 1
_symmetry_space_group_name_Hall 'P 1'
_cell_length_a 4.8510
_cell_length_b 4.8510
_cell_length_c 4.6679
_cell_angle_alpha 90.00
_cell_angle_beta 90.00
_cell_angle_gamma 90.00
loop_
_atom_site_label
_atom_site_type_symbol
_atom_site_fract_x
_atom_site_fract_y
_atom_site_fract_z
Hf1 Hf 0.0000 0.0000 0.0000
Zr1 Zr 0.5000 0.5000 0.5000
P1 P 0.0000 0.5000 0.0000
P2 P 0.5000 0.0000 0.0000
S1 S 0.0000 0.0000 0.5000
# Total DFT energy (no corrections): -7.17 eV per atom
# Energy relative to the elements, uncorrected: -0.060 eV per atom
# V: 21.97 A^3/atom
# Fermi-level density of states: 0.489 states/eV per atom
# Space group: P4/mmm, No. 123

---

# HfScP3 | the Alexandria database | GGA-PBEsol | optimized geometry
data_HfScP3
_chemical_formula_sum 'Hf1 Sc1 P3'
_symmetry_space_group_name_H-M 'P 1'
_symmetry_Int_Tables_number 1
_symmetry_space_group_name_Hall 'P 1'
_cell_length_a 4.6904
_cell_length_b 4.6904
_cell_length_c 4.6904
_cell_angle_alpha 90.00
_cell_angle_beta 90.00
_cell_angle_gamma 90.00
loop_
_atom_site_label
_atom_site_type_symbol
_atom_site_fract_x
_atom_site_fract_y
_atom_site_fract_z
Hf1 Hf 0.0000 0.0000 0.0000
Sc1 Sc 0.5000 0.5000 0.5000
P1 P 0.0000 0.5000 0.5000
P2 P 0.5000 0.0000 0.5000
P3 P 0.5000 0.5000 0.0000
# Total DFT energy (no corrections): -6.50 eV per atom
# V: 20.64 A^3/atom
# Fermi-level density of states: 1.014 states/eV per atom
# Formation energy from the elements: 0.40 eV per atom
# Space group: Pm-3m, No. 221

---

# Hf2ScP2 | the Alexandria database | GGA-PBEsol | optimized geometry
data_Hf2ScP2
_chemical_formula_sum 'Hf4 Sc2 P4'
_symmetry_space_group_name_H-M 'P 1'
_symmetry_Int_Tables_number 1
_symmetry_space_group_name_Hall 'P 1'
_cell_length_a 6.9519
_cell_length_b 6.9519
_cell_length_c 3.4741
_cell_angle_alpha 90.00
_cell_angle_beta 90.00
_cell_angle_gamma 90.00
loop_
_atom_site_label
_atom_site_type_symbol
_atom_site_fract_x
_atom_site_fract_y
_atom_site_fract_z
Hf1 Hf 0.1583 0.3417 0.0000
Hf2 Hf 0.3417 0.8417 0.0000
Hf3 Hf 0.6583 0.1583 0.0000
Hf4 Hf 0.8417 0.6583 0.0000
Sc1 Sc 0.0000 0.0000 0.5000
Sc2 Sc 0.5000 0.5000 0.5000
P1 P 0.1391 0.6391 0.5000
P2 P 0.3609 0.1391 0.5000
P3 P 0.6391 0.8609 0.5000
P4 P 0.8609 0.3609 0.5000
# Total DFT energy (no corrections): -9.06 eV per atom
# V: 16.79 A^3/atom
# Fermi-level density of states: 0.645 states/eV per atom
# Formation energy from the elements: -1.22 eV per atom
# Space group: P4/mbm, No. 127